# 1
VASP calculation (PBE-GGA) on Pr2NdZn3InGa2 after structural relaxation.

* space group: Amm2
* energy: -3.463 eV/atom

a = 4.500 Å, b = 7.290 Å, c = 7.290 Å
α = 119.95°, β = 90.00°, γ = 90.00°
Atoms (fractional coordinates):
Ga1 0.500 0.666 0.335
Ga2 0.500 0.335 0.666
In1 0.000 0.999 0.999
Nd1 0.000 0.562 0.562
Pr1 0.000 0.439 0.000
Pr2 0.000 0.000 0.439
Zn1 0.500 0.252 0.252
Zn2 0.500 0.999 0.748
Zn3 0.500 0.748 0.999



# 2
VASP calculation (PBE-GGA) on KP2IrO7 after structural relaxation.

* space group: C2
* energy: -6.787 eV/atom

a = 5.459 Å, b = 5.459 Å, c = 5.065 Å
α = 90.22°, β = 90.22°, γ = 97.25°
Atoms (fractional coordinates):
Ir1 0.509 0.491 0.000
K1 0.144 0.856 0.500
O1 0.923 0.077 0.000
O2 0.159 0.491 0.160
O3 0.522 0.168 0.215
O4 0.686 0.750 0.273
O5 0.250 0.314 0.727
O6 0.832 0.478 0.785
O7 0.509 0.841 0.840
P1 0.646 0.964 0.085
P2 0.036 0.354 0.915



# 3
VASP calculation (PBE-GGA) on BaLiNdS3 after structural relaxation.

* space group: Pnma
* energy: -5.415 eV/atom

a = 10.654 Å, b = 4.181 Å, c = 13.592 Å
α = 90.00°, β = 90.00°, γ = 90.00°
Atoms (fractional coordinates):
Ba1 0.754 0.750 0.004
Ba2 0.254 0.750 0.496
Ba3 0.746 0.250 0.504
Ba4 0.246 0.250 0.996
Li1 0.246 0.750 0.222
Li2 0.746 0.750 0.278
Li3 0.254 0.250 0.722
Li4 0.754 0.250 0.778
Nd1 0.497 0.250 0.249
Nd2 0.997 0.250 0.251
Nd3 0.003 0.750 0.749
Nd4 0.503 0.750 0.751
S1 0.428 0.750 0.117
S2 0.064 0.750 0.118
S3 0.747 0.250 0.181
S4 0.247 0.250 0.319
S5 0.564 0.750 0.382
S6 0.928 0.750 0.383
S7 0.072 0.250 0.617
S8 0.436 0.250 0.618
S9 0.753 0.750 0.681
S10 0.253 0.750 0.819
S11 0.936 0.250 0.882
S12 0.572 0.250 0.883



# 4
VASP calculation (PBE-GGA) on TbSc2P3 after structural relaxation.

* space group: P-3m1
* energy: -7.100 eV/atom

a = 3.853 Å, b = 3.853 Å, c = 9.399 Å
α = 90.00°, β = 90.00°, γ = 120.00°
Atoms (fractional coordinates):
P1 0.000 0.000 0.000
P2 0.333 0.667 0.318
P3 0.667 0.333 0.682
Sc1 0.667 0.333 0.160
Sc2 0.333 0.667 0.840
Tb1 0.000 0.000 0.500



# 5
VASP calculation (PBE-GGA) on SrAlCdAu after structural relaxation.

* space group: F-43m
* excess energy over the best structure of this formula in the dataset: 0 meV/atom
* energy: -2.683 eV/atom

a = 5.098 Å, b = 5.098 Å, c = 5.098 Å
α = 60.00°, β = 60.00°, γ = 60.00°
Atoms (fractional coordinates):
Al1 0.000 0.000 0.000
Au1 0.750 0.750 0.750
Cd1 0.250 0.250 0.250
Sr1 0.500 0.500 0.500



# 6
VASP calculation (PBE-GGA) on Cs2K2RbCuSb2 after structural relaxation.

* space group: R-3m
* excess energy over the best structure of this formula in the dataset: 54 meV/atom
* energy: -2.411 eV/atom

a = 10.515 Å, b = 10.515 Å, c = 10.515 Å
α = 34.66°, β = 34.66°, γ = 34.66°
Atoms (fractional coordinates):
Cs1 0.217 0.217 0.217
Cs2 0.783 0.783 0.783
Cu1 0.000 0.000 0.000
K1 0.364 0.364 0.364
K2 0.636 0.636 0.636
Rb1 0.500 0.500 0.500
Sb1 0.084 0.084 0.084
Sb2 0.916 0.916 0.916



# 7
VASP calculation (PBE-GGA) on Zr2TlSi after structural relaxation.

* space group: C2/m
* energy: -6.586 eV/atom

a = 7.947 Å, b = 7.947 Å, c = 6.412 Å
α = 98.07°, β = 98.07°, γ = 26.81°
Atoms (fractional coordinates):
Si1 0.250 0.250 0.250
Si2 0.750 0.750 0.750
Tl1 0.500 0.500 0.000
Tl2 0.000 0.000 0.500
Zr1 0.850 0.850 0.118
Zr2 0.650 0.650 0.382
Zr3 0.350 0.350 0.618
Zr4 0.150 0.150 0.882



# 8
VASP calculation (PBE-GGA) on SrNbBi after structural relaxation.

* space group: F-43m
* excess energy over the best structure of this formula in the dataset: 0 meV/atom
* energy: -4.772 eV/atom

a = 5.196 Å, b = 5.196 Å, c = 5.196 Å
α = 60.00°, β = 60.00°, γ = 60.00°
Atoms (fractional coordinates):
Bi1 0.000 0.000 0.000
Nb1 0.250 0.250 0.250
Sr1 0.750 0.750 0.750



# 9
VASP calculation (PBE-GGA) on TmMgAgTeS2 after structural relaxation.

* space group: Cmcm
* energy: -4.393 eV/atom

a = 7.013 Å, b = 7.013 Å, c = 10.886 Å
α = 90.00°, β = 90.00°, γ = 148.20°
Atoms (fractional coordinates):
Ag1 0.011 0.989 0.250
Ag2 0.989 0.011 0.750
Mg1 0.695 0.305 0.250
Mg2 0.305 0.695 0.750
S1 0.130 0.870 0.075
S2 0.130 0.870 0.425
S3 0.870 0.130 0.575
S4 0.870 0.130 0.925
Te1 0.364 0.636 0.250
Te2 0.636 0.364 0.750
Tm1 0.500 0.500 0.000
Tm2 0.500 0.500 0.500



# 10
VASP calculation (PBE-GGA) on RbSmTeO after structural relaxation.

* space group: R3m
* excess energy over the best structure of this formula in the dataset: 298 meV/atom
* energy: -5.231 eV/atom

a = 8.119 Å, b = 8.119 Å, c = 8.119 Å
α = 28.37°, β = 28.37°, γ = 28.37°
Atoms (fractional coordinates):
O1 0.774 0.774 0.774
Rb1 0.011 0.011 0.011
Sm1 0.480 0.480 0.480
Te1 0.235 0.235 0.235



# 11
VASP calculation (PBE-GGA) on LuSiAsO after structural relaxation.

* space group: P4/nmm
* excess energy over the best structure of this formula in the dataset: 0 meV/atom
* energy: -6.318 eV/atom

a = 3.724 Å, b = 3.724 Å, c = 9.938 Å
α = 90.00°, β = 90.00°, γ = 90.00°
Atoms (fractional coordinates):
As1 0.750 0.750 0.295
As2 0.250 0.250 0.705
Lu1 0.250 0.250 0.111
Lu2 0.750 0.750 0.889
O1 0.750 0.250 0.000
O2 0.250 0.750 0.000
Si1 0.750 0.250 0.500
Si2 0.250 0.750 0.500



# 12
VASP calculation (PBE-GGA) on Tm5CdIn3 after structural relaxation.

* space group: P6_3/mcm
* energy: -3.885 eV/atom

a = 9.150 Å, b = 9.150 Å, c = 6.580 Å
α = 90.00°, β = 90.00°, γ = 120.00°
Atoms (fractional coordinates):
Cd1 0.000 0.000 0.000
Cd2 0.000 0.000 0.500
In1 0.371 0.000 0.250
In2 0.000 0.371 0.250
In3 0.629 0.629 0.250
In4 0.629 0.000 0.750
In5 0.371 0.371 0.750
In6 0.000 0.629 0.750
Tm1 0.667 0.333 0.000
Tm2 0.333 0.667 0.000
Tm3 0.709 0.000 0.250
Tm4 0.291 0.291 0.250
Tm5 0.000 0.709 0.250
Tm6 0.667 0.333 0.500
Tm7 0.333 0.667 0.500
Tm8 0.291 0.000 0.750
Tm9 0.000 0.291 0.750
Tm10 0.709 0.709 0.750



# 13
VASP calculation (PBE-GGA) on Tb3SeS2 after structural relaxation.

* space group: P-3m1
* energy: -6.201 eV/atom

a = 3.976 Å, b = 3.976 Å, c = 9.771 Å
α = 90.00°, β = 90.00°, γ = 120.00°
Atoms (fractional coordinates):
S1 0.333 0.667 0.339
S2 0.667 0.333 0.661
Se1 0.000 0.000 0.000
Tb1 0.667 0.333 0.182
Tb2 0.000 0.000 0.500
Tb3 0.333 0.667 0.818



# 14
VASP calculation (PBE-GGA) on MgAlCuMo after structural relaxation.

* space group: F-43m
* excess energy over the best structure of this formula in the dataset: 0 meV/atom
* energy: -4.766 eV/atom

a = 4.405 Å, b = 4.405 Å, c = 4.405 Å
α = 60.00°, β = 60.00°, γ = 60.00°
Atoms (fractional coordinates):
Al1 0.000 0.000 0.000
Cu1 0.750 0.750 0.750
Mg1 0.500 0.500 0.500
Mo1 0.250 0.250 0.250



# 15
VASP calculation (PBE-GGA) on HfCd2Ga after structural relaxation.

* space group: F-43m
* energy: -3.589 eV/atom

a = 4.850 Å, b = 4.850 Å, c = 4.850 Å
α = 60.00°, β = 60.00°, γ = 60.00°
Atoms (fractional coordinates):
Cd1 0.000 0.000 0.000
Cd2 0.750 0.750 0.750
Ga1 0.500 0.500 0.500
Hf1 0.250 0.250 0.250



# 16
VASP calculation (PBE-GGA) on MgPtSeO after structural relaxation.

* space group: Pca2_1
* excess energy over the best structure of this formula in the dataset: 589 meV/atom
* energy: -4.604 eV/atom

a = 6.883 Å, b = 7.588 Å, c = 5.459 Å
α = 90.00°, β = 90.00°, γ = 90.00°
Atoms (fractional coordinates):
Mg1 0.903 0.322 0.062
Mg2 0.403 0.678 0.062
Mg3 0.597 0.322 0.562
Mg4 0.097 0.678 0.562
O1 0.980 0.074 0.063
O2 0.480 0.926 0.063
O3 0.520 0.074 0.563
O4 0.020 0.926 0.563
Pt1 0.260 0.117 0.063
Pt2 0.760 0.883 0.063
Pt3 0.240 0.117 0.563
Pt4 0.740 0.883 0.563
Se1 0.518 0.343 0.062
Se2 0.018 0.657 0.062
Se3 0.982 0.343 0.562
Se4 0.482 0.657 0.562



# 17
VASP calculation (PBE-GGA) on BeGaFePd after structural relaxation.

* space group: F-43m
* excess energy over the best structure of this formula in the dataset: 157 meV/atom
* energy: -5.149 eV/atom

a = 4.166 Å, b = 4.166 Å, c = 4.166 Å
α = 60.00°, β = 60.00°, γ = 60.00°
Atoms (fractional coordinates):
Be1 0.250 0.250 0.250
Fe1 0.750 0.750 0.750
Ga1 0.000 0.000 0.000
Pd1 0.500 0.500 0.500



# 18
VASP calculation (PBE-GGA) on ZnBi2 after structural relaxation.

* space group: I4/mmm
* energy: -2.959 eV/atom

a = 3.533 Å, b = 3.533 Å, c = 6.883 Å
α = 104.87°, β = 104.87°, γ = 90.00°
Atoms (fractional coordinates):
Bi1 0.641 0.641 0.281
Bi2 0.359 0.359 0.719
Zn1 0.000 0.000 0.000



# 19
VASP calculation (PBE-GGA) on TaRe5 after structural relaxation.

* space group: P6_3/mmc
* formation energy from the elements: 0.072 eV/atom
* excess energy over the best structure of this formula in the dataset: 0 meV/atom
* energy: -12.255 eV/atom

a = 5.129 Å, b = 5.129 Å, c = 16.750 Å
α = 90.00°, β = 90.00°, γ = 120.00°
Atoms (fractional coordinates):
Re1 0.500 0.000 0.000
Re2 0.000 0.500 0.000
Re3 0.500 0.500 0.000
Re4 0.333 0.667 0.127
Re5 0.667 0.333 0.160
Re6 0.160 0.320 0.250
Re7 0.160 0.840 0.250
Re8 0.680 0.840 0.250
Re9 0.667 0.333 0.340
Re10 0.333 0.667 0.373
Re11 0.500 0.000 0.500
Re12 0.000 0.500 0.500
Re13 0.500 0.500 0.500
Re14 0.667 0.333 0.627
Re15 0.333 0.667 0.660
Re16 0.320 0.160 0.750
Re17 0.840 0.160 0.750
Re18 0.840 0.680 0.750
Re19 0.333 0.667 0.840
Re20 0.667 0.333 0.873
Ta1 0.000 0.000 0.094
Ta2 0.000 0.000 0.406
Ta3 0.000 0.000 0.594
Ta4 0.000 0.000 0.906



# 20
VASP calculation (PBE-GGA) on InW4C3 after structural relaxation.

* space group: P6_3/mmc
* energy: -10.020 eV/atom

a = 3.163 Å, b = 3.163 Å, c = 23.853 Å
α = 90.00°, β = 90.00°, γ = 120.00°
Atoms (fractional coordinates):
C1 0.000 0.000 0.000
C2 0.667 0.333 0.107
C3 0.667 0.333 0.393
C4 0.000 0.000 0.500
C5 0.333 0.667 0.607
C6 0.333 0.667 0.893
In1 0.333 0.667 0.250
In2 0.667 0.333 0.750
W1 0.333 0.667 0.055
W2 0.000 0.000 0.148
W3 0.000 0.000 0.352
W4 0.333 0.667 0.445
W5 0.667 0.333 0.555
W6 0.000 0.000 0.648
W7 0.000 0.000 0.852
W8 0.667 0.333 0.945